Below is Ba2NdMoO6 at its PBEsol-relaxed geometry, with properties calculated at the meta-GGA SCAN level.

The value obtained for the total energy is -22.460 eV/atom.

abc: 6.019 6.019 6.019
angles: 60.00 60.00 60.00
Atoms (fractional coordinates):
1 O 0.771 0.229 0.771
2 O 0.229 0.229 0.771
3 O 0.229 0.771 0.771
4 O 0.771 0.771 0.229
5 O 0.229 0.771 0.229
6 O 0.771 0.229 0.229
7 Ba 0.750 0.750 0.750
8 Ba 0.250 0.250 0.250
9 Nd 0.500 0.500 0.500
10 Mo 0.000 0.000 0.000

Below is BaNiMo at its PBEsol-relaxed geometry, with properties calculated at the meta-GGA SCAN level.

The formation energy is 0.6942 eV/atom.

abc: 3.999 3.999 5.257
angles: 90.00 90.00 120.00
Atoms (fractional coordinates):
1 Ni 0.667 0.333 0.500
2 Mo 0.333 0.667 0.500
3 Ba 0.000 0.000 0.000

Number 1: ρ 6.58 Mg/m³. Number 2: ρ 6.66 Mg/m³.